Entry 1:
The following is a DFT calculation (GGA-PBE) of a geometry-optimized Ca3Tl2Cd3 structure.

Cell: 7.657 7.657 4.581 Å, 90.00 90.00 120.00°
Positions (direct):
Ca1 0.000 0.391 0.000
Ca2 0.391 0.000 0.000
Ca3 0.609 0.609 0.000
Tl1 0.333 0.667 0.500
Tl2 0.667 0.333 0.500
Cd1 0.000 0.775 0.500
Cd2 0.225 0.225 0.500
Cd3 0.775 0.000 0.500

Calculated values
Electronic total energy (eV per atom): -1.972
Formation enthalpy at 0 K (eV per atom): -0.286
Calculated volume (A^3/atom): 29.07
Space-group type: No. 189
N(E_F) (states/eV per cell): 4.55

=====

Entry 2:
The following is a DFT calculation (GGA-PBE) of a geometry-optimized PmBe2Cu9 structure.

Cell: 7.695 7.695 7.695 Å, 99.84 99.84 131.15°
Positions (direct):
Pm1 0.375 0.625 0.750
Pm2 0.625 0.375 0.250
Be1 0.000 0.000 0.000
Be2 0.000 0.000 0.500
Be3 0.000 0.500 0.000
Be4 0.500 0.000 0.500
Cu1 0.125 0.875 0.250
Cu2 0.146 0.570 0.330
Cu3 0.146 0.816 0.576
Cu4 0.184 0.260 0.330
Cu5 0.184 0.854 0.924
Cu6 0.260 0.184 0.830
Cu7 0.260 0.430 0.076
Cu8 0.430 0.260 0.576
Cu9 0.430 0.854 0.170
Cu10 0.570 0.146 0.830
Cu11 0.570 0.740 0.424
Cu12 0.740 0.570 0.924
Cu13 0.740 0.816 0.170
Cu14 0.816 0.146 0.076
Cu15 0.816 0.740 0.670
Cu16 0.854 0.184 0.424
Cu17 0.854 0.430 0.670
Cu18 0.875 0.125 0.750

Calculated values
Electronic total energy (eV per atom): -4.200
Formation enthalpy at 0 K (eV per atom): -0.111
Calculated volume (A^3/atom): 13.01
Space-group type: No. 141
N(E_F) (states/eV per cell): 9.46

=====

Entry 3:
The following is a DFT calculation (GGA-PBE) of a geometry-optimized AgRuRh2 structure.

Cell: 2.765 4.643 4.740 Å, 90.00 90.00 90.00°
Positions (direct):
Ag1 0.000 0.000 0.000
Ru1 0.500 0.000 0.500
Rh1 0.000 0.500 0.500
Rh2 0.500 0.500 0.000

Calculated values
Electronic total energy (eV per atom): -6.209
Formation enthalpy at 0 K (eV per atom): 0.499
Calculated volume (A^3/atom): 15.21
Space-group type: No. 47
N(E_F) (states/eV per cell): 5.25
Energy above the most stable polymorph in this dataset (meV per atom): 373

=====

Entry 4:
The following is a DFT calculation (GGA-PBE) of a geometry-optimized Cu6BiSe4 structure.

Cell: 6.635 6.635 12.070 Å, 103.14 103.14 62.65°
Positions (direct):
Cu1 0.003 0.997 0.500
Cu2 0.066 0.205 0.371
Cu3 0.205 0.066 0.871
Cu4 0.419 0.680 0.589
Cu5 0.439 0.878 0.055
Cu6 0.661 0.892 0.914
Cu7 0.680 0.419 0.089
Cu8 0.823 0.998 0.765
Cu9 0.878 0.439 0.555
Cu10 0.892 0.661 0.414
Cu11 0.997 0.003 0.000
Cu12 0.998 0.823 0.265
Bi1 0.104 0.548 0.861
Bi2 0.548 0.104 0.361
Se1 0.047 0.694 0.618
Se2 0.277 0.660 0.091
Se3 0.341 0.823 0.401
Se4 0.443 0.985 0.735
Se5 0.660 0.277 0.591
Se6 0.694 0.047 0.118
Se7 0.823 0.341 0.901
Se8 0.985 0.443 0.235

Calculated values
Electronic total energy (eV per atom): -3.903
E_form (uncorrected) (kJ/mol of formula units): -52
Calculated volume (A^3/atom): 20.68
Space-group type: No. 9
N(E_F) (states/eV per cell): 8.87

=====

Entry 5:
The following is a DFT calculation (GGA-PBE) of a geometry-optimized Zr3CoRh structure.

Cell: 6.943 6.178 10.497 Å, 90.00 122.14 90.00°
Positions (direct):
Zr1 0.118 0.223 0.237
Zr2 0.118 0.277 0.737
Zr3 0.298 0.503 0.058
Zr4 0.298 0.997 0.558
Zr5 0.354 0.516 0.576
Zr6 0.354 0.984 0.076
Zr7 0.646 0.016 0.924
Zr8 0.646 0.484 0.424
Zr9 0.702 0.003 0.442
Zr10 0.702 0.497 0.942
Zr11 0.882 0.723 0.263
Zr12 0.882 0.777 0.763
Co1 0.004 0.208 0.948
Co2 0.004 0.292 0.448
Co3 0.996 0.708 0.552
Co4 0.996 0.792 0.052
Rh1 0.312 0.732 0.826
Rh2 0.312 0.768 0.326
Rh3 0.688 0.232 0.674
Rh4 0.688 0.268 0.174

Calculated values
Electronic total energy (eV per atom): -8.417
Formation enthalpy at 0 K (eV per atom): -0.396
Calculated volume (A^3/atom): 19.06
Space-group type: No. 14
N(E_F) (states/eV per cell): 17.26
Energy above the most stable polymorph in this dataset (meV per atom): 0

=====

Entry 6:
The following is a DFT calculation (GGA-PBE) of a geometry-optimized CuBiSbO6 structure.

Cell: 4.842 4.842 9.647 Å, 90.00 90.00 90.00°
Positions (direct):
Cu1 0.000 0.000 0.000
Cu2 0.500 0.500 0.500
Bi1 0.000 0.000 0.668
Bi2 0.500 0.500 0.168
Sb1 0.000 0.000 0.334
Sb2 0.500 0.500 0.834
O1 0.182 0.182 0.170
O2 0.197 0.197 0.491
O3 0.202 0.202 0.840
O4 0.298 0.702 0.340
O5 0.303 0.697 0.991
O6 0.318 0.682 0.670
O7 0.682 0.318 0.670
O8 0.697 0.303 0.991
O9 0.702 0.298 0.340
O10 0.798 0.798 0.840
O11 0.803 0.803 0.491
O12 0.818 0.818 0.170

Calculated values
Electronic total energy (eV per atom): -5.584
E_form (uncorrected) (kJ/mol of formula units): -811
Calculated volume (A^3/atom): 12.57
Space-group type: No. 102
N(E_F) (states/eV per cell): 6.22

=====

Entry 7:
The following is a DFT calculation (GGA-PBE) of a geometry-optimized Na2Tl3Br5 structure.

Cell: 4.553 7.870 10.285 Å, 76.74 77.22 73.20°
Positions (direct):
Na1 0.102 0.205 0.091
Na2 0.898 0.795 0.909
Tl1 0.294 0.619 0.294
Tl2 0.500 0.000 0.500
Tl3 0.706 0.381 0.706
Br1 0.086 0.698 0.629
Br2 0.304 0.065 0.827
Br3 0.500 0.500 0.000
Br4 0.696 0.935 0.173
Br5 0.914 0.302 0.371

Calculated values
Electronic total energy (eV per atom): -2.936
E_form (uncorrected) (kJ/mol of formula units): -1086
Calculated volume (A^3/atom): 33.86
Space-group type: No. 2
N(E_F) (states/eV per cell): 0.00

=====

Entry 8:
The following is a DFT calculation (GGA-PBE) of a geometry-optimized YCu2Se structure.

Cell: 4.234 4.234 5.690 Å, 103.52 103.52 56.09°
Positions (direct):
Y1 0.000 0.000 0.000
Cu1 0.283 0.283 0.638
Cu2 0.613 0.613 0.680
Se1 0.739 0.739 0.303

Calculated values
Electronic total energy (eV per atom): -5.043
E_form (uncorrected) (kJ/mol of formula units): -196
Calculated volume (A^3/atom): 20.40
Space-group type: No. 8
N(E_F) (states/eV per cell): 1.75

=====

Entry 9:
The following is a DFT calculation (GGA-PBE) of a geometry-optimized BaPd2Pt structure.

Cell: 9.561 9.561 9.561 Å, 34.74 34.74 34.74°
Positions (direct):
Ba1 0.000 0.000 0.000
Ba2 0.140 0.140 0.140
Ba3 0.860 0.860 0.860
Pd1 0.081 0.581 0.581
Pd2 0.419 0.419 0.919
Pd3 0.419 0.919 0.419
Pd4 0.581 0.081 0.581
Pd5 0.581 0.581 0.081
Pd6 0.919 0.419 0.419
Pt1 0.332 0.332 0.332
Pt2 0.500 0.500 0.500
Pt3 0.668 0.668 0.668

Calculated values
Electronic total energy (eV per atom): -5.070
Formation enthalpy at 0 K (eV per atom): -0.482
Calculated volume (A^3/atom): 21.11
Space-group type: No. 166
N(E_F) (states/eV per cell): 8.97
Energy above the most stable polymorph in this dataset (meV per atom): 0

=====

Entry 10:
The following is a DFT calculation (GGA-PBE) of a geometry-optimized NaCdAgAu structure.

Cell: 4.825 4.825 4.825 Å, 60.00 60.00 60.00°
Positions (direct):
Na1 0.000 0.000 0.000
Cd1 0.750 0.750 0.750
Ag1 0.250 0.250 0.250
Au1 0.500 0.500 0.500

Calculated values
Electronic total energy (eV per atom): -2.236
Formation enthalpy at 0 K (eV per atom): -0.145
Calculated volume (A^3/atom): 19.86
Space-group type: No. 216
N(E_F) (states/eV per cell): 1.65

=====

Entry 11:
The following is a DFT calculation (GGA-PBE) of a geometry-optimized ErScZn2 structure.

Cell: 3.431 3.431 6.939 Å, 90.00 90.00 90.00°
Positions (direct):
Er1 0.000 0.000 0.000
Sc1 0.000 0.000 0.500
Zn1 0.500 0.500 0.272
Zn2 0.500 0.500 0.728

Calculated values
Electronic total energy (eV per atom): -3.715
Formation enthalpy at 0 K (eV per atom): -0.355
Calculated volume (A^3/atom): 20.42
Space-group type: No. 123
N(E_F) (states/eV per cell): 3.70

=====

Entry 12:
The following is a DFT calculation (GGA-PBE) of a geometry-optimized TaOs structure.

Cell: 5.221 5.221 4.377 Å, 90.00 90.00 145.98°
Positions (direct):
Ta1 0.154 0.846 0.750
Ta2 0.846 0.154 0.250
Os1 0.411 0.589 0.750
Os2 0.589 0.411 0.250

Calculated values
Electronic total energy (eV per atom): -11.708
Formation enthalpy at 0 K (eV per atom): -0.167
Calculated volume (A^3/atom): 16.69
Space-group type: No. 63
N(E_F) (states/eV per cell): 2.74

=====

Entry 13:
The following is a DFT calculation (GGA-PBE) of a geometry-optimized La8Pm3Ho2 structure.

Cell: 11.022 11.022 5.919 Å, 90.00 90.00 41.11°
Positions (direct):
La1 0.098 0.690 0.999
La2 0.176 0.176 0.501
La3 0.310 0.902 0.001
La4 0.365 0.365 0.499
La5 0.635 0.635 0.501
La6 0.690 0.098 0.999
La7 0.824 0.824 0.499
La8 0.902 0.310 0.001
Pm1 0.218 0.782 0.500
Pm2 0.500 0.500 0.000
Pm3 0.782 0.218 0.500
Ho1 0.259 0.259 0.000
Ho2 0.741 0.741 0.000

Calculated values
Electronic total energy (eV per atom): -4.652
Formation enthalpy at 0 K (eV per atom): 0.181
Calculated volume (A^3/atom): 36.37
Space-group type: No. 12
N(E_F) (states/eV per cell): 18.74
Energy above the most stable polymorph in this dataset (meV per atom): 36

=====

Entry 14:
The following is a DFT calculation (GGA-PBE) of a geometry-optimized PmThInBi structure.

Cell: 5.542 5.542 5.542 Å, 60.00 60.00 60.00°
Positions (direct):
Pm1 0.000 0.000 0.000
Th1 0.500 0.500 0.500
In1 0.750 0.750 0.750
Bi1 0.250 0.250 0.250

Calculated values
Electronic total energy (eV per atom): -5.063
Formation enthalpy at 0 K (eV per atom): -0.365
Calculated volume (A^3/atom): 30.08
Space-group type: No. 216
N(E_F) (states/eV per cell): 6.80